Compound: CrAuO2
Source: the Alexandria database
Functional: PBE with a Hubbard U
Structure: relaxed

Cell and atoms, written as POSCAR:
```
CrAuO2
1.0
-2.677 2.677 4.083
2.677 -2.677 4.083
2.677 2.677 -4.083
Cr Au O
2 2 4
direct
0.000 0.000 0.000
0.750 0.250 0.500
0.250 0.750 0.500
0.500 0.500 0.000
0.036 0.625 0.911
0.375 0.286 0.411
0.714 0.125 0.089
0.875 0.964 0.589
```

Results
As for the uncorrected energy: -5.787 eV per atom. The energy above the most stable polymorph in this dataset comes out at 672 meV per atom.